1.
Ce3U2S8: optimized geometry, PBE.

SG: Cmmm (65)
E_tot, eV/atom: -7.271
Formation energy (no corrections), kJ/mol of formula units: -2038.5

Cell: 8.229 8.229 4.735 Å, 90.00 90.00 109.30°
Fractional positions:
Ce: 0.000 0.000 0.000
Ce: 0.278 0.278 0.500
Ce: 0.722 0.722 0.500
U: 0.264 0.736 0.000
U: 0.736 0.264 0.000
S: 0.119 0.370 0.000
S: 0.123 0.877 0.500
S: 0.367 0.633 0.500
S: 0.370 0.119 0.000
S: 0.630 0.881 0.000
S: 0.633 0.367 0.500
S: 0.877 0.123 0.500
S: 0.881 0.630 0.000

=====

2.
CeYOs2: optimized geometry, PBE.

Energy of formation from the pure elements, kJ per mole of atoms: -10.98
SG: P4/mmm (123)
E_tot, eV/atom: -8.828

Cell: 3.446 3.446 6.873 Å, 90.00 90.00 90.00°
Fractional positions:
Ce: 0.000 0.000 0.000
Y: 0.000 0.000 0.500
Os: 0.500 0.500 0.238
Os: 0.500 0.500 0.762

=====

3.
Sm2AlB2Ru5: optimized geometry, PBE.

Energy of formation from the pure elements, kJ per mole of atoms: -38.60
SG: P4/mbm (127)
E_tot, eV/atom: -7.692

Cell: 9.669 9.669 3.141 Å, 90.00 90.00 90.00°
Fractional positions:
Sm: 0.176 0.324 0.000
Sm: 0.324 0.824 0.000
Sm: 0.676 0.176 0.000
Sm: 0.824 0.676 0.000
Al: 0.000 0.000 0.000
Al: 0.500 0.500 0.000
B: 0.124 0.624 0.000
B: 0.376 0.124 0.000
B: 0.624 0.876 0.000
B: 0.876 0.376 0.000
Ru: 0.000 0.500 0.500
Ru: 0.069 0.781 0.500
Ru: 0.219 0.069 0.500
Ru: 0.281 0.569 0.500
Ru: 0.431 0.281 0.500
Ru: 0.500 0.000 0.500
Ru: 0.569 0.719 0.500
Ru: 0.719 0.431 0.500
Ru: 0.781 0.931 0.500
Ru: 0.931 0.219 0.500

=====

4.
Co2AsOs: optimized geometry, PBE.

Energy of formation from the pure elements, kJ per mole of atoms: 16.73
SG: Amm2 (38)
E_tot, eV/atom: -7.349

Cell: 3.690 5.239 5.239 Å, 30.39 90.00 90.00°
Fractional positions:
Co: 0.000 0.000 0.000
Co: 0.500 0.357 0.357
As: 0.000 0.774 0.774
Os: 0.500 0.609 0.609

=====

5.
BaScSb2Au2: optimized geometry, PBE.

SG: P-3m1 (164)
E_tot, eV/atom: -4.590
Formation energy (no corrections), kJ/mol of formula units: -432.9

Cell: 4.715 4.715 8.319 Å, 90.00 90.00 120.00°
Fractional positions:
Ba: 0.000 0.000 0.000
Sc: 0.000 0.000 0.500
Sb: 0.333 0.667 0.728
Sb: 0.667 0.333 0.272
Au: 0.333 0.667 0.341
Au: 0.667 0.333 0.659

=====

6.
TbCe2H6: optimized geometry, PBE.

SG: Immm (71)
E_tot, eV/atom: -4.656

Cell: 6.573 6.573 6.573 Å, 146.57 131.56 60.14°
Fractional positions:
Tb: 0.000 0.000 0.000
Ce: 0.335 0.335 0.000
Ce: 0.665 0.665 0.000
H: 0.079 0.836 0.243
H: 0.239 0.500 0.739
H: 0.407 0.164 0.243
H: 0.593 0.836 0.757
H: 0.761 0.500 0.261
H: 0.921 0.164 0.757

=====

7.
PuTiAlTc: optimized geometry, PBE.

Energy of formation from the pure elements, kJ per mole of atoms: -20.20
SG: F-43m (216)
E_tot, eV/atom: -9.293

Cell: 4.578 4.578 4.578 Å, 60.00 60.00 60.00°
Fractional positions:
Pu: 0.000 0.000 0.000
Ti: 0.750 0.750 0.750
Al: 0.500 0.500 0.500
Tc: 0.250 0.250 0.250

=====

8.
Rb2Te2Cl7: optimized geometry, PBE.

SG: C2/m (12)
E_tot, eV/atom: -2.827
Formation energy (no corrections), kJ/mol of formula units: -960.4

Cell: 7.101 7.101 7.948 Å, 92.77 92.77 102.63°
Fractional positions:
Rb: 0.222 0.778 0.000
Rb: 0.778 0.222 0.000
Te: 0.322 0.322 0.505
Te: 0.678 0.678 0.495
Cl: 0.000 0.000 0.500
Cl: 0.124 0.456 0.274
Cl: 0.338 0.338 0.827
Cl: 0.456 0.124 0.274
Cl: 0.544 0.876 0.726
Cl: 0.662 0.662 0.173
Cl: 0.876 0.544 0.726

=====

9.
Tm2ThRh4: optimized geometry, PBE.

Energy of formation from the pure elements, kJ per mole of atoms: -61.98
SG: R-3m (166)
E_tot, eV/atom: -7.181

Cell: 8.230 8.230 8.230 Å, 33.24 33.24 33.24°
Fractional positions:
Tm: 0.234 0.234 0.234
Tm: 0.766 0.766 0.766
Th: 0.000 0.000 0.000
Rh: 0.117 0.117 0.117
Rh: 0.376 0.376 0.376
Rh: 0.624 0.624 0.624
Rh: 0.883 0.883 0.883

=====

10.
ZrTcHg2: optimized geometry, PBE.

Energy of formation from the pure elements, kJ per mole of atoms: 40.50
SG: I-42d (122)
E_tot, eV/atom: -4.460

Cell: 10.882 10.882 10.882 Å, 158.76 158.76 30.22°
Fractional positions:
Zr: 0.000 0.000 0.000
Zr: 0.750 0.250 0.500
Tc: 0.250 0.750 0.500
Tc: 0.500 0.500 0.000
Hg: 0.137 0.625 0.012
Hg: 0.375 0.387 0.512
Hg: 0.613 0.125 0.988
Hg: 0.875 0.863 0.488

=====

11.
Cd5Te3: optimized geometry, PBE.

SG: P6_3/mcm (193)
E_tot, eV/atom: -1.860
Formation energy (no corrections), kJ/mol of formula units: -85.0

Cell: 9.875 9.875 5.897 Å, 90.00 90.00 120.00°
Fractional positions:
Cd: 0.000 0.263 0.250
Cd: 0.000 0.737 0.750
Cd: 0.263 0.000 0.250
Cd: 0.263 0.263 0.750
Cd: 0.333 0.667 0.000
Cd: 0.333 0.667 0.500
Cd: 0.667 0.333 0.000
Cd: 0.667 0.333 0.500
Cd: 0.737 0.000 0.750
Cd: 0.737 0.737 0.250
Te: 0.000 0.319 0.750
Te: 0.000 0.681 0.250
Te: 0.319 0.000 0.750
Te: 0.319 0.319 0.250
Te: 0.681 0.000 0.250
Te: 0.681 0.681 0.750

=====

12.
MnS2Br: optimized geometry, PBE.

SG: Fm-3m (225)
E_tot, eV/atom: -3.713
Formation energy (no corrections), kJ/mol of formula units: 409.5

Cell: 4.465 4.465 4.465 Å, 60.00 60.00 60.00°
Fractional positions:
Mn: 0.000 0.000 0.000
S: 0.250 0.250 0.250
S: 0.750 0.750 0.750
Br: 0.500 0.500 0.500

=====

13.
Lu2AlSi2: optimized geometry, PBE.

SG: Immm (71)
E_tot, eV/atom: -5.416
Formation energy (no corrections), kJ/mol of formula units: -332.7

Cell: 5.469 5.469 5.469 Å, 136.80 117.43 79.06°
Fractional positions:
Lu: 0.211 0.211 0.000
Lu: 0.789 0.789 0.000
Al: 0.500 0.000 0.500
Si: 0.211 0.500 0.711
Si: 0.789 0.500 0.289

=====

14.
Tb7PrTl4: optimized geometry, PBE.

Energy of formation from the pure elements, kJ per mole of atoms: -3.30
SG: C2/m (12)
E_tot, eV/atom: -3.922

Cell: 7.915 7.915 10.348 Å, 120.49 120.49 42.77°
Fractional positions:
Tb: 0.000 0.000 0.000
Tb: 0.225 0.225 0.664
Tb: 0.293 0.293 0.122
Tb: 0.437 0.437 0.602
Tb: 0.563 0.563 0.398
Tb: 0.707 0.707 0.878
Tb: 0.775 0.775 0.336
Pr: 0.500 0.500 0.000
Tl: 0.059 0.059 0.748
Tl: 0.187 0.187 0.333
Tl: 0.813 0.813 0.667
Tl: 0.941 0.941 0.252

=====

15.
PaGaTe2O8: optimized geometry, PBE.

SG: P-3m1 (164)
E_tot, eV/atom: -6.555
Formation energy (no corrections), kJ/mol of formula units: -1947.8

Cell: 6.293 6.293 5.928 Å, 90.00 90.00 120.00°
Fractional positions:
Pa: 0.000 0.000 0.000
Ga: 0.000 0.000 0.500
Te: 0.333 0.667 0.275
Te: 0.667 0.333 0.725
O: 0.139 0.279 0.273
O: 0.139 0.861 0.273
O: 0.279 0.139 0.727
O: 0.333 0.667 0.969
O: 0.667 0.333 0.031
O: 0.721 0.861 0.273
O: 0.861 0.139 0.727
O: 0.861 0.721 0.727

=====

16.
KCd9Pt2: optimized geometry, PBE.

Energy of formation from the pure elements, kJ per mole of atoms: -19.06
SG: I4_1/amd (141)
E_tot, eV/atom: -1.982

Cell: 9.238 9.238 9.238 Å, 100.09 100.09 130.52°
Fractional positions:
K: 0.375 0.625 0.750
K: 0.625 0.375 0.250
Cd: 0.125 0.875 0.250
Cd: 0.140 0.565 0.332
Cd: 0.140 0.808 0.575
Cd: 0.192 0.267 0.332
Cd: 0.192 0.860 0.925
Cd: 0.267 0.192 0.832
Cd: 0.267 0.435 0.075
Cd: 0.435 0.267 0.575
Cd: 0.435 0.860 0.168
Cd: 0.565 0.140 0.832
Cd: 0.565 0.733 0.425
Cd: 0.733 0.565 0.925
Cd: 0.733 0.808 0.168
Cd: 0.808 0.140 0.075
Cd: 0.808 0.733 0.668
Cd: 0.860 0.192 0.425
Cd: 0.860 0.435 0.668
Cd: 0.875 0.125 0.750
Pt: 0.000 0.000 0.000
Pt: 0.000 0.000 0.500
Pt: 0.000 0.500 0.000
Pt: 0.500 0.000 0.500

=====

Number 1: magnetic moment 0.615 μB per atom. Number 2: magnetic moment 0.000 μB per atom. Number 3: magnetic moment 0.000 μB per atom. Number 4: magnetic moment 0.229 μB per atom. Number 5: magnetic moment 0.000 μB per atom. Number 6: magnetic moment 0.177 μB per atom. Number 7: magnetic moment 1.126 μB per atom. Number 8: magnetic moment 0.093 μB per atom. Number 9: magnetic moment 0.000 μB per atom. Number 10: magnetic moment 0.000 μB per atom. Number 11: magnetic moment 0.000 μB per atom. Number 12: magnetic moment 0.004 μB per atom. Number 13: magnetic moment 0.000 μB per atom. Number 14: magnetic moment 0.000 μB per atom. Number 15: magnetic moment 0.000 μB per atom. Number 16: magnetic moment 0.000 μB per atom.